# KSrSbWO6 (PBE+U, relaxed)
data_KSrSbWO6
_cell_length_a 8.432
_cell_length_b 8.432
_cell_length_c 8.432
_cell_angle_alpha 90.00
_cell_angle_beta 90.00
_cell_angle_gamma 90.00
_symmetry_space_group_name_H-M 'F -4 3 m'
_symmetry_Int_Tables_number 216
_symmetry_space_group_name_Hall 'F -4 2 3'
loop_
_atom_site_label
_atom_site_type_symbol
_atom_site_fract_x
_atom_site_fract_y
_atom_site_fract_z
K1 K 0.000 0.000 0.000
Sr1 Sr 0.000 0.000 0.500
Sb1 Sb 0.250 0.250 0.750
W1 W 0.250 0.250 0.250
O1 O 0.018 0.250 0.250
# **M_tot**: 0.00 μB per formula unit
# **Uncorrected energy**: -6.374 eV per atom